# TiFeWO6, optimized geometry, DFT GGA+U
data_TiFeWO6
_symmetry_space_group_name_H-M 'P 42 n m'
_symmetry_Int_Tables_number 102
_cell_length_a 4.7574
_cell_length_b 4.7574
_cell_length_c 9.0746
_cell_angle_alpha 90.00
_cell_angle_beta 90.00
_cell_angle_gamma 90.00
loop_
_symmetry_equiv_pos_as_xyz
'x,y,z'
'-y+1/2,x+1/2,z+1/2'
'-x,-y,z'
'y+1/2,-x+1/2,z+1/2'
'-x+1/2,y+1/2,z+1/2'
'y,x,z'
'x+1/2,-y+1/2,z+1/2'
'-y,-x,z'
loop_
_atom_site_label
_atom_site_type_symbol
_atom_site_fract_x
_atom_site_fract_y
_atom_site_fract_z
Ti1 Ti 0.0000 0.0000 0.0000
Fe1 Fe 0.0000 0.0000 0.6729
W1 W 0.0000 0.0000 0.3399
O1 O 0.1862 0.1862 0.1737
O2 O 0.2067 0.2067 0.4884
O3 O 0.2093 0.2093 0.8513
# Energy   -7.837 eV per atom